TaCuW: PBEsol geometry, meta-GGA SCAN.

Results
- Total energy: -50.12 eV/atom

```
data_TaCuW
_cell_length_a 2.7565
_cell_length_b 2.7565
_cell_length_c 6.9960
_cell_angle_alpha 90.00
_cell_angle_beta 90.00
_cell_angle_gamma 120.00
_symmetry_space_group_name_H-M 'P 3 m 1'
_symmetry_Int_Tables_number 156
_symmetry_space_group_name_Hall 'P 3 -2"'
loop_
_atom_site_label
_atom_site_fract_x
_atom_site_fract_y
_atom_site_fract_z
Ta1 0.0000 0.0000 0.0000
Cu1 0.6667 0.3333 0.3259
W1 0.3333 0.6667 0.6403
```

***

RuRh2Cl: PBEsol geometry, meta-GGA SCAN.

Results
- ΔE_f (raw): 0.64 eV per atom

```
data_RuRh2Cl
_cell_length_a 2.757
_cell_length_b 4.524
_cell_length_c 8.835
_cell_angle_alpha 90.00
_cell_angle_beta 90.00
_cell_angle_gamma 90.00
_symmetry_space_group_name_H-M 'I m m m'
_symmetry_Int_Tables_number 71
_symmetry_space_group_name_Hall '-I 2 2'
loop_
_atom_site_label
_atom_site_fract_x
_atom_site_fract_y
_atom_site_fract_z
Ru1 0.000 0.000 0.000
Rh1 0.000 0.500 0.240
Cl1 0.000 0.000 0.500
```

***

Er5Si3C: PBEsol geometry, meta-GGA SCAN.

Results
- ΔE_f (raw): -0.70 eV per atom

```
data_Er5Si3C
_cell_length_a 8.2883
_cell_length_b 8.2883
_cell_length_c 6.2084
_cell_angle_alpha 90.00
_cell_angle_beta 90.00
_cell_angle_gamma 120.00
_symmetry_space_group_name_H-M 'P 63/m c m'
_symmetry_Int_Tables_number 193
_symmetry_space_group_name_Hall '-P 6c 2'
loop_
_atom_site_label
_atom_site_fract_x
_atom_site_fract_y
_atom_site_fract_z
Er1 0.0000 0.2238 0.2500
Er2 0.3333 0.6667 0.0000
Si1 0.0000 0.4082 0.7500
C1 0.0000 0.0000 0.0000
```

***

SrHfS2: PBEsol geometry, meta-GGA SCAN.

Results
- ΔE_f (raw): -1.23 eV per atom

```
data_SrHfS2
_cell_length_a 4.0397
_cell_length_b 4.0397
_cell_length_c 24.2897
_cell_angle_alpha 90.00
_cell_angle_beta 90.00
_cell_angle_gamma 120.00
_symmetry_space_group_name_H-M 'R -3 m'
_symmetry_Int_Tables_number 166
_symmetry_space_group_name_Hall '-R 3 2"'
loop_
_atom_site_label
_atom_site_fract_x
_atom_site_fract_y
_atom_site_fract_z
Sr1 0.0000 0.0000 0.0000
Hf1 0.0000 0.0000 0.5000
S1 0.0000 0.0000 0.4027
```

***

ZrCu: PBEsol geometry, meta-GGA SCAN.

Results
- Total energy: -23.14 eV/atom

```
data_ZrCu
_cell_length_a 3.223
_cell_length_b 3.223
_cell_length_c 3.223
_cell_angle_alpha 90.00
_cell_angle_beta 90.00
_cell_angle_gamma 90.00
_symmetry_space_group_name_H-M 'P m -3 m'
_symmetry_Int_Tables_number 221
_symmetry_space_group_name_Hall '-P 4 2 3'
loop_
_atom_site_label
_atom_site_fract_x
_atom_site_fract_y
_atom_site_fract_z
Zr1 0.000 0.000 0.000
Cu1 0.500 0.500 0.500
```

***

CuHg2MoSe: PBEsol geometry, meta-GGA SCAN.

Results
- ΔE_f (raw): 1.27 eV per atom

```
data_CuHg2MoSe
_cell_length_a 5.176
_cell_length_b 5.176
_cell_length_c 4.650
_cell_angle_alpha 90.00
_cell_angle_beta 90.00
_cell_angle_gamma 90.00
_symmetry_space_group_name_H-M 'P 4/m m m'
_symmetry_Int_Tables_number 123
_symmetry_space_group_name_Hall '-P 4 2'
loop_
_atom_site_label
_atom_site_fract_x
_atom_site_fract_y
_atom_site_fract_z
Cu1 0.000 0.000 0.000
Hg1 0.000 0.500 0.500
Mo1 0.500 0.500 0.000
Se1 0.500 0.500 0.500
```

***

MoPd3F: PBEsol geometry, meta-GGA SCAN.

Results
- ΔE_f (raw): 1.04 eV per atom

```
data_MoPd3F
_cell_length_a 4.685
_cell_length_b 4.685
_cell_length_c 4.685
_cell_angle_alpha 90.00
_cell_angle_beta 90.00
_cell_angle_gamma 90.00
_symmetry_space_group_name_H-M 'P m -3 m'
_symmetry_Int_Tables_number 221
_symmetry_space_group_name_Hall '-P 4 2 3'
loop_
_atom_site_label
_atom_site_fract_x
_atom_site_fract_y
_atom_site_fract_z
Mo1 0.000 0.000 0.000
Pd1 0.000 0.000 0.500
F1 0.500 0.500 0.500
```

***

K2ZnW: PBEsol geometry, meta-GGA SCAN.

Results
- Total energy: -23.45 eV/atom

```
data_K2ZnW
_cell_length_a 3.923
_cell_length_b 3.923
_cell_length_c 5.736
_cell_angle_alpha 90.00
_cell_angle_beta 90.00
_cell_angle_gamma 90.00
_symmetry_space_group_name_H-M 'P 4/m m m'
_symmetry_Int_Tables_number 123
_symmetry_space_group_name_Hall '-P 4 2'
loop_
_atom_site_label
_atom_site_fract_x
_atom_site_fract_y
_atom_site_fract_z
K1 0.000 0.500 0.000
Zn1 0.000 0.000 0.500
W1 0.500 0.500 0.500
```

***

Be2CdBr: PBEsol geometry, meta-GGA SCAN.

Results
- ΔE_f (raw): 0.52 eV per atom

```
data_Be2CdBr
_cell_length_a 2.947
_cell_length_b 5.808
_cell_length_c 8.762
_cell_angle_alpha 90.00
_cell_angle_beta 90.00
_cell_angle_gamma 90.00
_symmetry_space_group_name_H-M 'I m m 2'
_symmetry_Int_Tables_number 44
_symmetry_space_group_name_Hall 'I 2 -2'
loop_
_atom_site_label
_atom_site_fract_x
_atom_site_fract_y
_atom_site_fract_z
Be1 0.000 0.000 0.000
Be2 0.000 0.500 0.301
Cd1 0.000 0.500 0.752
Br1 0.000 0.000 0.612
```

***

LiS2ClF: PBEsol geometry, meta-GGA SCAN.

Results
- ΔE_f (raw): 0.37 eV per atom

```
data_LiS2ClF
_cell_length_a 4.305
_cell_length_b 4.305
_cell_length_c 4.279
_cell_angle_alpha 90.00
_cell_angle_beta 90.00
_cell_angle_gamma 90.00
_symmetry_space_group_name_H-M 'P 4/m m m'
_symmetry_Int_Tables_number 123
_symmetry_space_group_name_Hall '-P 4 2'
loop_
_atom_site_label
_atom_site_fract_x
_atom_site_fract_y
_atom_site_fract_z
Li1 0.000 0.000 0.000
S1 0.000 0.500 0.000
Cl1 0.000 0.000 0.500
F1 0.500 0.500 0.500
```

***

Hf2CuSi2: PBEsol geometry, meta-GGA SCAN.

Results
- ΔE_f (raw): -0.60 eV per atom

```
data_Hf2CuSi2
_cell_length_a 6.334
_cell_length_b 6.334
_cell_length_c 3.922
_cell_angle_alpha 90.00
_cell_angle_beta 90.00
_cell_angle_gamma 90.00
_symmetry_space_group_name_H-M 'P 4/m b m'
_symmetry_Int_Tables_number 127
_symmetry_space_group_name_Hall '-P 4 2ab'
loop_
_atom_site_label
_atom_site_fract_x
_atom_site_fract_y
_atom_site_fract_z
Hf1 0.176 0.324 0.000
Cu1 0.000 0.000 0.500
Si1 0.130 0.630 0.500
```

***

Li2TaCl: PBEsol geometry, meta-GGA SCAN.

Results
- ΔE_f (raw): 0.47 eV per atom

```
data_Li2TaCl
_cell_length_a 3.646
_cell_length_b 3.646
_cell_length_c 8.726
_cell_angle_alpha 90.00
_cell_angle_beta 90.00
_cell_angle_gamma 90.00
_symmetry_space_group_name_H-M 'I -4 m 2'
_symmetry_Int_Tables_number 119
_symmetry_space_group_name_Hall 'I -4 -2'
loop_
_atom_site_label
_atom_site_fract_x
_atom_site_fract_y
_atom_site_fract_z
Li1 0.000 0.000 0.000
Li2 0.000 0.500 0.250
Ta1 0.000 0.000 0.500
Cl1 0.000 0.500 0.750
```

***

Copy entry 1 word for word.
TaCuW: PBEsol geometry, meta-GGA SCAN.

Results
- Total energy: -50.12 eV/atom

```
data_TaCuW
_cell_length_a 2.7565
_cell_length_b 2.7565
_cell_length_c 6.9960
_cell_angle_alpha 90.00
_cell_angle_beta 90.00
_cell_angle_gamma 120.00
_symmetry_space_group_name_H-M 'P 3 m 1'
_symmetry_Int_Tables_number 156
_symmetry_space_group_name_Hall 'P 3 -2"'
loop_
_atom_site_label
_atom_site_fract_x
_atom_site_fract_y
_atom_site_fract_z
Ta1 0.0000 0.0000 0.0000
Cu1 0.6667 0.3333 0.3259
W1 0.3333 0.6667 0.6403
```